Entry 1:
The following is a GGA-PBE calculation of a relaxed Rb2PmErSe4 crystal, from Alexandria.

Summary:
Total energy: -39.0 eV/cell
Mass density: 5.22 Mg/m³
Formation energy from raw total energies: -167.1 kJ per mole of atoms

Lattice parameters (Å, degrees): 7.4147 4.2805 8.3752 90.00 107.15 90.00
Space group P2/m (No. 10)
Inequivalent atoms, fractional coordinates:
Rb  0.0000  0.0000  0.0000 x1
Rb  0.5000  0.5000  0.0000 x1
Pm  0.0000  0.5000  0.5000 x1
Er  0.5000  0.0000  0.5000 x1
Se  0.2402  0.0000  0.6984 x2
Se  0.2755  0.5000  0.3048 x2

Entry 2:
The following is a GGA-PBE calculation of a relaxed ReBAsCl2 crystal, from Alexandria.

Summary:
Total energy: -18.7 eV/cell
Mass density: 4.53 Mg/m³
Formation energy from raw total energies: 169.6 kJ per mole of atoms

Lattice parameters (Å, degrees): 5.0248 5.0248 4.9830 90.00 90.00 90.00
Space group P4/mmm (No. 123)
Inequivalent atoms, fractional coordinates:
Re  0.0000  0.0000  0.0000 x1
B  0.5000  0.5000  0.0000 x1
As  0.0000  0.0000  0.5000 x1
Cl  0.0000  0.5000  0.5000 x2

Among the records above, which one has the lowest total energy? Rb2PmErSe4